## Pt2PbCl (meta-GGA SCAN)

Data for a PBEsol-optimized structure of Pt2PbCl. Values from VASP.

Output
As for the total magnetic moment: 0.0 μB/cell. The volume is 21.90 A^3/atom. Its crystal system is tetragonal. The calculation puts the offset from the most stable computed form at 0.0 meV per atom. The calculation puts the uncorrected energy at -56.042 eV/atom.

Quantum ESPRESSO input file:
```
&SYSTEM
  ibrav = 0, nat = 4, ntyp = 3
/
ATOMIC_SPECIES
Pt 195.08 Pt.upf
Cl 35.45 Cl.upf
Pb 207.20 Pb.upf
ATOMIC_POSITIONS angstrom
Pt 0.000 0.000 0.483
Pt 1.770 1.770 1.073
Cl 0.000 0.000 3.629
Pb 1.770 1.770 5.305
CELL_PARAMETERS angstrom
3.539 0.000 0.000
0.000 3.539 0.000
0.000 0.000 6.993
```

## Ni3MoI (meta-GGA SCAN)

Data for a PBEsol-optimized structure of Ni3MoI. Values from VASP.

Output
As for the total magnetic moment: 0.0 μB/cell. The volume is 18.36 A^3/atom. Its crystal system is cubic. The calculation puts the uncorrected energy at -22.480 eV/atom.

Quantum ESPRESSO input file:
```
&SYSTEM
  ibrav = 0, nat = 5, ntyp = 3
/
ATOMIC_SPECIES
Ni 58.69 Ni.upf
Mo 95.94 Mo.upf
I 126.90 I.upf
ATOMIC_POSITIONS angstrom
Ni 1.352 0.192 1.795
Ni -1.051 1.907 0.587
Ni -1.468 -1.188 1.233
Mo 0.000 0.000 0.000
I -1.166 0.911 3.615
CELL_PARAMETERS angstrom
-2.102 3.814 1.175
-2.935 -2.377 2.466
2.705 0.385 3.589
```

## InMoP2 (meta-GGA SCAN)

Data for a PBEsol-optimized structure of InMoP2. Values from VASP.

Output
The calculation puts the energy of formation from the pure elements at -0.0440 eV per atom. As for the total magnetic moment: 0.0 μB/cell. The volume is 17.34 A^3/atom. Its crystal system is trigonal. The calculation puts the uncorrected energy at -22.311 eV/atom.

Quantum ESPRESSO input file:
```
&SYSTEM
  ibrav = 0, nat = 4, ntyp = 3
/
ATOMIC_SPECIES
In 114.82 In.upf
Mo 95.94 Mo.upf
P 30.97 P.upf
ATOMIC_POSITIONS angstrom
In 1.917 -4.746 1.434
Mo 0.000 0.000 0.000
P 0.730 -2.276 0.525
P 3.103 -7.215 2.344
CELL_PARAMETERS angstrom
-1.669 -2.753 0.594
0.470 -2.637 -1.882
5.033 -4.101 4.157
```

## Tm2Mn3Si5 (meta-GGA SCAN)

Data for a PBEsol-optimized structure of Tm2Mn3Si5. Values from VASP.

Output
As for the total magnetic moment: 3.2 μB/cell. The volume is 14.34 A^3/atom. Its crystal system is tetragonal. The calculation puts the uncorrected energy at -21.501 eV/atom.

Quantum ESPRESSO input file:
```
&SYSTEM
  ibrav = 0, nat = 40, ntyp = 3
/
ATOMIC_SPECIES
Mn 54.94 Mn.upf
Si 28.09 Si.upf
Tm 168.93 Tm.upf
ATOMIC_POSITIONS angstrom
Mn 0.916 -3.428 -4.027
Mn 0.911 -6.849 -6.306
Mn -2.456 -4.079 2.477
Mn 1.095 -9.242 -0.563
Mn -3.991 -8.163 3.206
Mn -4.794 -4.281 1.244
Mn 1.681 -6.950 -2.049
Mn -0.084 -7.659 1.414
Mn -2.208 -2.172 -1.157
Mn 0.502 -5.367 -0.072
Mn -1.422 -3.630 -5.259
Mn -0.872 -12.841 -1.943
Si 0.098 -9.981 1.450
Si 2.177 -9.189 -2.624
Si -1.801 -11.161 -3.306
Si -1.937 -8.833 2.270
Si -3.994 -5.829 2.829
Si -3.617 -4.053 -1.027
Si -0.348 -7.403 -0.922
Si 0.914 -9.183 -5.930
Si -1.192 -0.103 -0.628
Si -0.581 -5.420 1.990
Si -2.731 -7.609 -2.178
Si -1.986 -12.510 0.116
Si -1.279 -3.851 0.206
Si 1.195 -5.978 -4.138
Si -1.143 -6.180 -5.370
Si -4.275 -9.035 1.037
Si 1.499 -4.628 -2.085
Si -3.485 -0.301 -1.837
Si 0.537 -10.959 -2.074
Si -1.094 -2.503 -3.216
Tm -1.832 -9.890 -0.606
Tm 3.247 -8.028 -4.843
Tm -2.720 -6.538 0.530
Tm -1.248 -5.123 -2.494
Tm -1.650 -6.581 4.208
Tm 0.790 -2.175 -1.142
Tm 0.807 -12.434 0.507
Tm -0.360 -8.474 -3.630
CELL_PARAMETERS angstrom
-4.676 -0.404 -2.465
4.171 -6.653 -6.821
-2.574 -7.956 6.186
```

## LiAgPt2 (meta-GGA SCAN)

Data for a PBEsol-optimized structure of LiAgPt2. Values from VASP.

Output
The calculation puts the energy of formation from the pure elements at -0.3439 eV per atom. As for the total magnetic moment: 0.0 μB/cell. The volume is 14.85 A^3/atom. Its crystal system is orthorhombic. The calculation puts the offset from the most stable computed form at 25.6 meV per atom. The calculation puts the uncorrected energy at -43.880 eV/atom.

Quantum ESPRESSO input file:
```
&SYSTEM
  ibrav = 0, nat = 4, ntyp = 3
/
ATOMIC_SPECIES
Pt 195.08 Pt.upf
Li 6.94 Li.upf
Ag 107.87 Ag.upf
ATOMIC_POSITIONS angstrom
Pt 0.000 0.000 0.000
Pt 0.207 -1.275 2.361
Li -0.408 1.282 2.975
Ag -2.333 0.467 1.279
CELL_PARAMETERS angstrom
-1.717 -2.090 0.665
2.132 -0.460 4.057
-2.948 3.025 1.892
```

## NdCoC2 (meta-GGA SCAN)

Data for a PBEsol-optimized structure of NdCoC2. Values from VASP.

Output
The calculation puts the energy of formation from the pure elements at -0.2926 eV per atom. As for the total magnetic moment: 0.0 μB/cell. The volume is 12.59 A^3/atom. Its crystal system is monoclinic. The calculation puts the uncorrected energy at -20.564 eV/atom.

Quantum ESPRESSO input file:
```
&SYSTEM
  ibrav = 0, nat = 8, ntyp = 3
/
ATOMIC_SPECIES
C 12.01 C.upf
Co 58.93 Co.upf
Nd 144.24 Nd.upf
ATOMIC_POSITIONS angstrom
C 1.144 2.510 4.868
C 2.204 1.645 0.179
C 1.125 1.685 3.760
C 3.028 1.664 1.288
Co 1.143 1.665 1.848
Co 1.146 0.625 5.429
Nd -0.710 2.503 6.820
Nd 3.022 -0.190 3.239
CELL_PARAMETERS angstrom
3.750 0.000 0.004
-0.002 3.750 0.004
-1.038 -1.038 7.161
```